# Ac4Pr5In

Ac4Pr5In after structural relaxation (PBE, the Alexandria database).

Computed properties:
uncorrected energy = -43.9 eV/f.u.
formation enthalpy at 0 K = -0.079 eV/atom
total moment = 0.00 μB/f.u.

Lattice parameters (Å, degrees): 3.8665 3.8665 25.4268 90.00 90.00 90.00
Sites, in units of the cell vectors:
Ac  0.0000  0.0000  0.1830
Ac  0.0000  0.0000  0.3944
Ac  0.0000  0.0000  0.6056
Ac  0.0000  0.0000  0.8170
Pr  0.5000  0.5000  0.0790
Pr  0.5000  0.5000  0.2891
Pr  0.5000  0.5000  0.5000
Pr  0.5000  0.5000  0.7109
Pr  0.5000  0.5000  0.9210
In  0.0000  0.0000  0.0000